No. 1
Density functional theory data (GGA-PBEsol) for a geometry-optimized MoPd4 structure.

Structure (POSCAR):
```
MoPd4
1.0
2.7386 0.0000 0.0000
1.3693 2.3717 0.0000
1.3693 0.7906 11.2180
Pd Mo
4 1
direct
0.2004 0.2004 0.3988 Pd
0.3986 0.3986 0.8041 Pd
0.6014 0.6014 0.1959 Pd
0.7996 0.7996 0.6012 Pd
0.0000 0.0000 0.0000 Mo
```

Calculated values
ΔE_f in eV/f.u.: -0.26



No. 2
Density functional theory data (GGA-PBEsol) for a geometry-optimized TaMo structure.

Structure (POSCAR):
```
TaMo
1.0
3.1867 0.0000 0.0000
0.0000 3.1867 0.0000
0.0000 0.0000 12.8573
Mo Ta
4 4
direct
0.5000 0.5000 0.6198 Mo
0.0000 0.0000 0.0000 Mo
0.5000 0.5000 0.3802 Mo
0.0000 0.0000 0.5000 Mo
0.0000 0.0000 0.2577 Ta
0.5000 0.5000 0.8775 Ta
0.0000 0.0000 0.7423 Ta
0.5000 0.5000 0.1225 Ta
```

Calculated values
ΔE_f in eV/f.u.: -0.26



No. 3
Density functional theory data (GGA-PBEsol) for a geometry-optimized SrLiCd3 structure.

Structure (POSCAR):
```
SrLiCd3
1.0
4.9680 0.0000 0.0000
0.0000 4.9680 0.0000
0.0000 0.0000 4.9680
Cd Sr Li
3 1 1
direct
0.0000 0.0000 0.5000 Cd
0.5000 0.0000 0.0000 Cd
0.0000 0.5000 0.0000 Cd
0.5000 0.5000 0.5000 Sr
0.0000 0.0000 0.0000 Li
```

Calculated values
ΔE_f in eV/f.u.: -0.64



No. 4
Density functional theory data (GGA-PBEsol) for a geometry-optimized MnCrTeN2 structure.

Structure (POSCAR):
```
MnCrTeN2
1.0
3.6541 0.0000 0.0000
0.0000 3.6541 0.0000
0.0000 0.0000 5.4087
Cr N Mn Te
1 2 1 1
direct
0.5000 0.5000 0.5000 Cr
0.0000 0.5000 0.0000 N
0.5000 0.0000 0.0000 N
0.0000 0.0000 0.0000 Mn
0.0000 0.0000 0.5000 Te
```

Calculated values
Energy relative to the elements, uncorrected in meV per atom: 684.7



No. 5
Density functional theory data (GGA-PBEsol) for a geometry-optimized Al2SbBr structure.

Structure (POSCAR):
```
Al2SbBr
1.0
4.1297 0.0000 0.0000
2.0648 3.5764 0.0000
2.0648 1.1921 6.6445
Al Sb Br
2 1 1
direct
0.7400 0.7400 0.7801 Al
0.2600 0.2600 0.2199 Al
0.0000 0.0000 0.0000 Sb
0.5000 0.5000 0.5000 Br
```

Calculated values
Energy relative to the elements, uncorrected in meV per atom: -26.5



No. 6
Density functional theory data (GGA-PBEsol) for a geometry-optimized Zn3P2O8 structure.

Structure (POSCAR):
```
Zn3P2O8
1.0
4.9010 0.0433 0.0000
-0.0251 6.4448 0.0000
0.0000 0.0000 9.2105
O Zn P
16 6 4
direct
0.3495 0.5320 0.1213 O
0.4338 0.1503 0.0864 O
0.3160 0.8741 0.3211 O
0.5662 0.8497 0.9136 O
0.0905 0.1980 0.8420 O
0.1505 0.9680 0.6213 O
0.6840 0.1259 0.6789 O
0.8495 0.0320 0.3787 O
0.5905 0.6980 0.6580 O
0.9338 0.6503 0.4136 O
0.4095 0.3020 0.3420 O
0.9095 0.8020 0.1580 O
0.6505 0.4680 0.8787 O
0.1840 0.6259 0.8211 O
0.8160 0.3741 0.1789 O
0.0662 0.3497 0.5864 O
0.5096 0.8395 0.1299 Zn
0.0000 0.5000 0.0000 Zn
0.5000 0.0000 0.5000 Zn
0.0096 0.3395 0.3701 Zn
0.9904 0.6605 0.6299 Zn
0.4904 0.1605 0.8701 Zn
0.5015 0.3386 0.1840 P
0.9985 0.1614 0.6840 P
0.4985 0.6614 0.8160 P
0.0015 0.8386 0.3160 P
```

Calculated values
Energy relative to the elements, uncorrected in meV per atom: -1925.0



No. 7
Density functional theory data (GGA-PBEsol) for a geometry-optimized K4ZnBr structure.

Structure (POSCAR):
```
K4ZnBr
1.0
-0.9985 7.5098 1.0525
-6.7306 3.2326 -1.6587
-4.5312 2.5035 5.6305
K Zn Br
4 1 1
direct
0.3744 0.3744 0.3744 K
0.8769 0.3744 0.3744 K
0.3744 0.3744 0.8769 K
0.3744 0.8769 0.3744 K
0.7500 0.7500 0.7500 Zn
0.0000 0.0000 0.0000 Br
```

Calculated values
Energy relative to the elements, uncorrected in meV per atom: -1.6



No. 8
Density functional theory data (GGA-PBEsol) for a geometry-optimized BiPd6Se structure.

Structure (POSCAR):
```
BiPd6Se
1.0
-0.9326 4.1671 -1.4421
0.2883 0.9830 -4.3891
-7.2168 -0.1545 -2.8228
Pd Bi Se
6 1 1
direct
0.7444 0.7444 0.7667 Pd
0.8677 0.8677 0.3970 Pd
0.3837 0.3837 0.8489 Pd
0.1323 0.1323 0.6030 Pd
0.2556 0.2556 0.2333 Pd
0.6163 0.6163 0.1511 Pd
0.0000 0.0000 0.0000 Bi
0.5000 0.5000 0.5000 Se
```

Calculated values
Energy relative to the elements, uncorrected in meV per atom: -172.9



No. 9
Density functional theory data (GGA-PBEsol) for a geometry-optimized SiCNF2 structure.

Structure (POSCAR):
```
SiCNF2
1.0
-0.6853 1.6726 3.0861
-2.2555 -2.5753 0.8948
2.6406 -1.7748 1.5482
C N F Si
1 1 2 1
direct
0.5000 0.5000 0.5000 C
0.5000 0.0000 0.0000 N
0.0000 0.0000 0.5000 F
0.0000 0.5000 0.0000 F
0.0000 0.0000 0.0000 Si
```

Calculated values
Energy relative to the elements, uncorrected in meV per atom: 124.8



No. 10
Density functional theory data (GGA-PBEsol) for a geometry-optimized TeS2IBr structure.

Structure (POSCAR):
```
TeS2IBr
1.0
5.0845 0.0000 0.0000
0.0000 5.0845 0.0000
0.0000 0.0000 5.4218
Te S Br I
1 2 1 1
direct
0.0000 0.0000 0.0000 Te
0.5000 0.0000 0.0000 S
0.0000 0.5000 0.0000 S
0.0000 0.0000 0.5000 Br
0.5000 0.5000 0.5000 I
```

Calculated values
Energy relative to the elements, uncorrected in meV per atom: 464.4